1.
RbHf2TlGe: optimized geometry, PBE.

a b c (Å): 5.1935 5.1935 5.7248
angles (deg): 90.00 90.00 90.00
With the nearest neighbours (Å) after each atom.
Space group P4/mmm (No. 123)
Inequivalent atoms, fractional coordinates:
1 Rb 0.0000 0.0000 0.0000  4 Hf 2.60, 2 Tl 2.86
2 Hf 0.0000 0.5000 0.0000  2 Rb 2.60
3 Tl 0.0000 0.0000 0.5000  2 Rb 2.86
4 Ge 0.5000 0.5000 0.5000  4 Tl 3.67, 8 Hf 3.86

Properties
relative energy among the computed polymorphs = 1.562 eV per atom
crystal system = tetragonal
calculated formation energy = 2.29 eV/atom
V = 30.9 A^3/atom
D(E_F) = 1.43 states/eV per atom
final energy = -3.28 eV per atom

***

2.
Hf3ReGe: optimized geometry, PBE.

a b c (Å): 4.8380 4.8380 4.8380
angles (deg): 90.00 90.00 90.00
With the nearest neighbours (Å) after each atom.
Space group Pm-3m (No. 221)
Inequivalent atoms, fractional coordinates:
1 Hf 0.0000 0.0000 0.5000  2 Ge 2.42
2 Re 0.5000 0.5000 0.5000  12 Hf 3.42
3 Ge 0.0000 0.0000 0.0000  6 Hf 2.42

Properties
relative energy among the computed polymorphs = 0.228 eV per atom
crystal system = cubic
calculated formation energy = 0.88 eV/atom
V = 22.6 A^3/atom
D(E_F) = 1.08 states/eV per atom
final energy = -8.51 eV per atom

***

3.
Hf3ReGe: optimized geometry, PBE.

a b c (Å): 5.0174 5.0174 5.0174
angles (deg): 90.00 90.00 90.00
With the nearest neighbours (Å) after each atom.
Space group Pm-3m (No. 221)
Inequivalent atoms, fractional coordinates:
1 Hf 0.0000 0.0000 0.5000  2 Re 2.51
2 Re 0.0000 0.0000 0.0000  6 Hf 2.51
3 Ge 0.5000 0.5000 0.5000  12 Hf 3.55

Properties
relative energy among the computed polymorphs = 0.000 eV per atom
crystal system = cubic
calculated formation energy = 0.65 eV/atom
V = 25.3 A^3/atom
D(E_F) = 1.86 states/eV per atom
final energy = -8.74 eV per atom